(1)
Computed, not measured: crystalline La3Ag2Ir at its relaxed geometry at the PBE-GGA level of DFT.

abc: 5.2295 8.2445 7.6787
angles: 90.00 90.01 71.61
Closest atoms and distances in Å follow each position.
Element x y z (fractional)
Ir (0.3504, 0.3003, 0.0000)  8 La 2.97-3.17
Ag (0.0000, 0.0000, 0.5000)  8 La 3.30-3.52, 4 Ag 3.67-3.68
Ag (0.6650, 0.6706, 0.5000)  8 La 3.25-3.38
La (0.1787, 0.6423, 0.2225)  3 Ir 3.15-3.17, 5 Ag 3.25-3.52, 3 La 3.42-3.44
La (0.8211, 0.3577, 0.2225)  3 Ir 3.15-3.17, 5 Ag 3.25-3.52, 3 La 3.42-3.44
Ag (0.3350, 0.3294, 0.5000)  8 La 3.25-3.38
La (0.8213, 0.3577, 0.7775)  3 Ir 3.15-3.17, 5 Ag 3.25-3.52, 3 La 3.42-3.44
Ag (0.0000, 0.0000, 0.0000)  8 La 3.19-3.28, 4 Ir 3.51-3.52
La (0.5000, 0.0000, 0.2371)  2 Ir 2.97, 6 Ag 3.19-3.30
La (0.1789, 0.6423, 0.7775)  3 Ir 3.15-3.17, 5 Ag 3.25-3.52, 3 La 3.42-3.44
La (0.5000, 0.0000, 0.7629)  2 Ir 2.97, 6 Ag 3.19-3.30
Ir (0.6496, 0.6997, 0.0000)  8 La 2.97-3.17

(2)
Computed, not measured: crystalline La2AgIr2 at its relaxed geometry at the PBE-GGA level of DFT.

## Properties
offset from the most stable computed form: 0.0000 eV per atom

abc: 4.5912 5.6550 5.6555
angles: 63.70 66.05 66.05
Closest atoms and distances in Å follow each position.
Element x y z (fractional)
La (0.7076, 0.7924, 0.2924)  6 Ir 2.98-3.17
Ag (0.5000, 0.5000, 0.0000)  4 Ir 2.84
Ir (0.0000, 0.2204, 0.2796)  1 Ir 2.63, 2 Ag 2.84
La (0.2924, 0.2076, 0.7076)  6 Ir 2.98-3.17
Ir (0.0000, 0.7796, 0.7204)  1 Ir 2.63, 2 Ag 2.84

(3)
Computed, not measured: crystalline LaAg3Ir at its relaxed geometry at the PBE-GGA level of DFT.

## Properties
offset from the most stable computed form: 0.0000 eV per atom

abc: 5.0577 5.0577 5.0577
angles: 90.00 90.00 90.00
Closest atoms and distances in Å follow each position.
Element x y z (fractional)
La (0.5000, 0.5000, 0.5000)  12 Ag 3.58
Ir (0.0000, 0.0000, 0.0000)  6 Ag 2.53
Ag (0.0000, 0.0000, 0.5000)  2 Ir 2.53
Ag (0.0000, 0.5000, 0.0000)  2 Ir 2.53
Ag (0.5000, 0.0000, 0.0000)  2 Ir 2.53

(4)
Computed, not measured: crystalline La5Ag2Ir at its relaxed geometry at the PBE-GGA level of DFT.

abc: 4.8999 8.1185 12.1934
angles: 90.00 90.00 90.00
Closest atoms and distances in Å follow each position.
Element x y z (fractional)
La (0.5000, 0.1855, 0.0743)  2 Ir 3.02, 2 Ag 3.29-3.38
Ag (0.5000, 0.9220, 0.6659)  9 La 3.24-3.50
Ag (0.5000, 0.0780, 0.3341)  9 La 3.24-3.50
Ir (0.0000, 0.0000, 0.0000)  6 La 2.74-3.02
La (0.0000, 0.1472, 0.7977)  1 Ir 2.74
La (0.0000, 0.6472, 0.7023)  1 Ir 2.74
La (0.0000, 0.3528, 0.2977)  1 Ir 2.74
Ir (0.0000, 0.5000, 0.5000)  6 La 2.74-3.02
La (0.5000, 0.8145, 0.9257)  2 Ir 3.02, 2 Ag 3.29-3.38
La (0.0000, 0.0000, 0.5000)  4 Ag 3.24
Ag (0.5000, 0.5780, 0.1659)  9 La 3.24-3.50
La (0.0000, 0.5000, 0.0000)  4 Ag 3.24
Ag (0.5000, 0.4220, 0.8341)  9 La 3.24-3.50
La (0.5000, 0.6855, 0.4257)  2 Ir 3.02, 2 Ag 3.29-3.38
La (0.0000, 0.8528, 0.2023)  1 Ir 2.74
La (0.5000, 0.3145, 0.5743)  2 Ir 3.02, 2 Ag 3.29-3.38

(5)
Computed, not measured: crystalline La2AgIr2 at its relaxed geometry at the PBE-GGA level of DFT.

## Properties
offset from the most stable computed form: 0.2632 eV per atom

abc: 3.9901 3.9901 8.6060
angles: 76.60 76.60 90.00
Closest atoms and distances in Å follow each position.
Element x y z (fractional)
Ir (0.7500, 0.2500, 0.5000)  4 Ir 2.82, 4 La 2.85
La (0.3753, 0.3753, 0.2495)  4 Ir 2.85
Ag (0.0000, 0.0000, 0.0000)  8 La 3.47
Ir (0.2500, 0.7500, 0.5000)  4 Ir 2.82, 4 La 2.85
La (0.6247, 0.6247, 0.7505)  4 Ir 2.85

(6)
Computed, not measured: crystalline La8Ag2Ir at its relaxed geometry at the PBE-GGA level of DFT.

## Properties
offset from the most stable computed form: 0.0081 eV per atom

abc: 5.4562 7.0201 9.9037
angles: 109.90 105.99 90.00
Closest atoms and distances in Å follow each position.
Element x y z (fractional)
La (0.0201, 0.8033, 0.0402)  1 Ag 3.05, 1 La 3.12, 2 Ir 3.14
Ir (0.5000, 0.0000, 0.0000)  8 La 2.98-3.14
La (0.3376, 0.9915, 0.6752)  1 Ir 3.07, 3 Ag 3.10-3.39, 2 La 3.44
La (0.9799, 0.1967, 0.9598)  1 Ag 3.05, 1 La 3.12, 2 Ir 3.14
La (0.4108, 0.5547, 0.8215)  1 Ir 2.98
Ag (0.1682, 0.7269, 0.3364)  7 La 3.05-3.39
La (0.6624, 0.0085, 0.3248)  1 Ir 3.07, 3 Ag 3.10-3.39, 2 La 3.44
La (0.7947, 0.6734, 0.5895)  1 Ag 3.13, 2 La 3.44
La (0.5892, 0.4453, 0.1785)  1 Ir 2.98
La (0.2053, 0.3266, 0.4105)  1 Ag 3.13, 2 La 3.44
Ag (0.8318, 0.2731, 0.6636)  7 La 3.05-3.39

(7)
Computed, not measured: crystalline LaLuAgIr at its relaxed geometry at the PBE-GGA level of DFT.

abc: 5.0578 5.0578 5.0578
angles: 60.00 60.00 60.00
Closest atoms and distances in Å follow each position.
Element x y z (fractional)
Lu (0.7500, 0.7500, 0.7500)  4 Ir 3.10, 4 Ag 3.10
La (0.2500, 0.2500, 0.2500)  4 Ag 3.10, 4 Ir 3.10
Ir (0.5000, 0.5000, 0.5000)  4 La 3.10, 4 Lu 3.10
Ag (0.0000, 0.0000, 0.0000)  4 La 3.10, 4 Lu 3.10

(8)
Computed, not measured: crystalline LaMg2AgIr at its relaxed geometry at the PBE-GGA level of DFT.

## Properties
offset from the most stable computed form: 0.0000 eV per atom

abc: 5.0814 5.0814 5.3762
angles: 90.00 90.00 90.00
Closest atoms and distances in Å follow each position.
Element x y z (fractional)
Mg (0.0000, 0.5000, 0.0000)  2 Ir 2.54
Ag (0.5000, 0.5000, 0.5000)  4 La 3.59, 8 Mg 3.70
Ir (0.0000, 0.0000, 0.0000)  4 Mg 2.54, 2 La 2.69
La (0.0000, 0.0000, 0.5000)  2 Ir 2.69
Mg (0.5000, 0.0000, 0.0000)  2 Ir 2.54

(9)
Computed, not measured: crystalline LaMg2AgIr at its relaxed geometry at the PBE-GGA level of DFT.

## Properties
offset from the most stable computed form: 0.6729 eV per atom

abc: 4.8072 5.7643 4.8072
angles: 90.00 90.00 90.00
Closest atoms and distances in Å follow each position.
Element x y z (fractional)
Ir (0.5000, 0.5000, 0.5000)  4 La 3.40, 8 Mg 3.75
Mg (0.0000, 0.0000, 0.5000)  2 Ag 2.40
Mg (0.5000, 0.0000, 0.0000)  2 Ag 2.40
La (0.0000, 0.5000, 0.0000)  2 Ag 2.88
Ag (0.0000, 0.0000, 0.0000)  4 Mg 2.40

(10)
Computed, not measured: crystalline LaMgAgIr at its relaxed geometry at the PBE-GGA level of DFT.

abc: 4.9580 4.9580 4.9580
angles: 60.00 60.00 60.00
Closest atoms and distances in Å follow each position.
Element x y z (fractional)
Ag (0.5000, 0.5000, 0.5000)  4 La 3.04, 4 Mg 3.04
La (0.2500, 0.2500, 0.2500)  4 Ag 3.04, 4 Ir 3.04
Ir (0.0000, 0.0000, 0.0000)  4 Mg 3.04, 4 La 3.04
Mg (0.7500, 0.7500, 0.7500)  4 Ir 3.04, 4 Ag 3.04

(11)
Computed, not measured: crystalline La2AgIrN at its relaxed geometry at the PBE-GGA level of DFT.

## Properties
formation energy from raw total energies: -0.667 eV per atom

abc: 5.3362 5.3362 3.8581
angles: 90.00 90.00 90.00
Closest atoms and distances in Å follow each position.
Element x y z (fractional)
N (0.0000, 0.0000, 0.0000)  2 Ir 1.93
La (0.5000, 0.0000, 0.0000)  2 N 2.67
La (0.0000, 0.5000, 0.0000)  2 N 2.67
Ag (0.5000, 0.5000, 0.5000)  8 La 3.29
Ir (0.0000, 0.0000, 0.5000)  2 N 1.93

(12)
Computed, not measured: crystalline LaNbAg2Ir at its relaxed geometry at the PBE-GGA level of DFT.

abc: 5.1907 4.9941 5.1907
angles: 90.00 90.00 90.00
Closest atoms and distances in Å follow each position.
Element x y z (fractional)
Ag (0.0000, 0.0000, 0.5000)  2 La 2.60
La (0.0000, 0.0000, 0.0000)  2 Nb 2.50, 4 Ag 2.60
Nb (0.0000, 0.5000, 0.0000)  2 La 2.50
Ag (0.5000, 0.0000, 0.0000)  2 La 2.60
Ir (0.5000, 0.5000, 0.5000)  8 Ag 3.60, 4 Nb 3.67

(13)
Computed, not measured: crystalline LaPmAgIr at its relaxed geometry at the PBE-GGA level of DFT.

abc: 5.1630 5.1630 5.1630
angles: 60.00 60.00 60.00
Closest atoms and distances in Å follow each position.
Element x y z (fractional)
La (0.5000, 0.5000, 0.5000)  4 Ir 3.16, 4 Ag 3.16
Ir (0.7500, 0.7500, 0.7500)  4 Pm 3.16, 4 La 3.16
Ag (0.2500, 0.2500, 0.2500)  4 Pm 3.16, 4 La 3.16
Pm (0.0000, 0.0000, 0.0000)  4 Ag 3.16, 4 Ir 3.16

(14)
Computed, not measured: crystalline La4Ag2IrPt at its relaxed geometry at the PBE-GGA level of DFT.

abc: 4.2829 7.4239 7.7994
angles: 108.44 90.00 90.00
Closest atoms and distances in Å follow each position.
Element x y z (fractional)
Pt (0.0000, 0.0000, 0.0000)  6 La 2.97-2.98
La (0.5000, 0.7543, 0.7844)  1 Ir 2.90, 2 Pt 2.97, 2 Ag 3.23
La (0.0000, 0.2690, 0.7857)  2 Ir 2.92, 1 Pt 2.98, 1 Ag 3.21
Ag (0.5000, 0.0000, 0.5000)  6 La 3.27-3.29
La (0.0000, 0.7310, 0.2143)  2 Ir 2.92, 1 Pt 2.98, 1 Ag 3.21
Ir (0.5000, 0.5000, 0.0000)  6 La 2.90-2.92
La (0.5000, 0.2457, 0.2156)  1 Ir 2.90, 2 Pt 2.97, 2 Ag 3.23
Ag (0.0000, 0.5000, 0.5000)  6 La 3.21-3.23

(15)
Computed, not measured: crystalline LaPuAgIr at its relaxed geometry at the PBE-GGA level of DFT.

abc: 5.1075 5.1075 5.1075
angles: 60.00 60.00 60.00
Closest atoms and distances in Å follow each position.
Element x y z (fractional)
Pu (0.0000, 0.0000, 0.0000)  4 Ir 3.13, 4 Ag 3.13
La (0.5000, 0.5000, 0.5000)  4 Ag 3.13, 4 Ir 3.13
Ag (0.7500, 0.7500, 0.7500)  4 La 3.13, 4 Pu 3.13
Ir (0.2500, 0.2500, 0.2500)  4 Pu 3.13, 4 La 3.13

(16)
Computed, not measured: crystalline La2AgSb4Ir3 at its relaxed geometry at the PBE-GGA level of DFT.

## Properties
formation energy from raw total energies: -0.626 eV per atom

abc: 4.6596 4.6596 10.5445
angles: 90.00 90.00 90.00
Closest atoms and distances in Å follow each position.
Element x y z (fractional)
Ag (0.5000, 0.5000, 0.5000)  4 Sb 2.74
Sb (0.0000, 0.5000, 0.3633)  3 Ir 2.60-2.74, 2 Ag 2.74
Sb (0.5000, 0.5000, 0.0000)  4 Ir 2.64
Ir (0.5000, 0.0000, 0.8832)  5 Sb 2.60-2.64
La (0.5000, 0.0000, 0.2511)  8 Sb 3.50-3.53, 7 Ir 3.51-3.88, 2 Ag 3.51
Sb (0.0000, 0.0000, 0.0000)  4 Ir 2.64
Ir (0.0000, 0.0000, 0.5000)  4 Sb 2.74
La (0.0000, 0.5000, 0.7489)  8 Sb 3.50-3.53, 7 Ir 3.51-3.88, 2 Ag 3.51
Sb (0.5000, 0.0000, 0.6367)  3 Ir 2.60-2.74, 2 Ag 2.74
Ir (0.0000, 0.5000, 0.1168)  5 Sb 2.60-2.64

(17)
Computed, not measured: crystalline LaScAgIr at its relaxed geometry at the PBE-GGA level of DFT.

abc: 4.9862 4.9862 4.9862
angles: 60.00 60.00 60.00
Closest atoms and distances in Å follow each position.
Element x y z (fractional)
Ag (0.5000, 0.5000, 0.5000)  4 La 3.05, 4 Sc 3.05
Sc (0.2500, 0.2500, 0.2500)  4 Ir 3.05, 4 Ag 3.05
La (0.7500, 0.7500, 0.7500)  4 Ag 3.05, 4 Ir 3.05
Ir (0.0000, 0.0000, 0.0000)  4 Sc 3.05, 4 La 3.05

(18)
Computed, not measured: crystalline LaSmAgIr at its relaxed geometry at the PBE-GGA level of DFT.

abc: 5.1510 5.1510 5.1510
angles: 60.00 60.00 60.00
Closest atoms and distances in Å follow each position.
Element x y z (fractional)
Sm (0.2500, 0.2500, 0.2500)  4 Ir 3.15, 4 Ag 3.15
La (0.7500, 0.7500, 0.7500)  4 Ir 3.15, 4 Ag 3.15
Ag (0.0000, 0.0000, 0.0000)  4 Sm 3.15, 4 La 3.15
Ir (0.5000, 0.5000, 0.5000)  4 Sm 3.15, 4 La 3.15

(19)
Computed, not measured: crystalline La2AgSn4Ir3 at its relaxed geometry at the PBE-GGA level of DFT.

abc: 4.5834 4.5834 10.9188
angles: 90.00 90.00 90.00
Closest atoms and distances in Å follow each position.
Element x y z (fractional)
Sn (0.5000, 0.5000, 0.0000)  4 Ir 2.69
Ir (0.5000, 0.0000, 0.8715)  5 Sn 2.59-2.69
La (0.5000, 0.0000, 0.2428)  6 Ir 3.47-3.62, 8 Sn 3.50-3.51, 2 Ag 3.62
Sn (0.0000, 0.0000, 0.0000)  4 Ir 2.69
Ir (0.0000, 0.5000, 0.1285)  5 Sn 2.59-2.69
Sn (0.0000, 0.5000, 0.3661)  3 Ir 2.59-2.72, 2 Ag 2.72
La (0.0000, 0.5000, 0.7572)  6 Ir 3.47-3.62, 8 Sn 3.50-3.51, 2 Ag 3.62
Ag (0.5000, 0.5000, 0.5000)  4 Sn 2.72
Sn (0.5000, 0.0000, 0.6339)  3 Ir 2.59-2.72, 2 Ag 2.72
Ir (0.0000, 0.0000, 0.5000)  4 Sn 2.72

(20)
Computed, not measured: crystalline La2AgSnIr at its relaxed geometry at the PBE-GGA level of DFT.

abc: 4.5208 8.1854 7.7701
angles: 112.55 90.00 90.00
Closest atoms and distances in Å follow each position.
Element x y z (fractional)
Ir (0.2500, 0.8814, 0.8962)  1 Sn 2.70, 4 La 2.94-2.99, 2 Ir 3.01
Ir (0.7500, 0.1186, 0.1038)  1 Sn 2.70, 4 La 2.94-2.99, 2 Ir 3.01
Sn (0.2500, 0.5400, 0.6577)  1 Ir 2.70, 2 Ag 2.98
La (0.7500, 0.7245, 0.0338)  3 Ir 2.99-3.06, 2 Ag 3.29
Ag (0.7500, 0.3096, 0.6743)  3 Sn 2.98-3.26, 4 La 3.29-3.34
La (0.7500, 0.8876, 0.6561)  3 Ir 2.94-3.26
La (0.2500, 0.2755, 0.9662)  3 Ir 2.99-3.06, 2 Ag 3.29
La (0.2500, 0.1124, 0.3439)  3 Ir 2.94-3.26
Sn (0.7500, 0.4600, 0.3423)  1 Ir 2.70, 2 Ag 2.98
Ag (0.2500, 0.6904, 0.3257)  3 Sn 2.98-3.26, 4 La 3.29-3.34

In eV per atom, the total energy values for the records above are, in order, -5.317; -6.643; -4.028; -5.265; -6.380; -5.132; -5.804; -4.162; -3.489; -4.864; -6.645; -3.773; -5.801; -5.651; -8.029; -6.204; -6.177; -5.802; -6.082; -5.692.